[1]
# Dy3C2I2

Crystalline Dy3C2I2 at its relaxed geometry (PBE-GGA, Alexandria).

Calculated values
SG: P-1, No. 2
Mass density in g/cm³: 7.150
VASP energy in eV for the cell shown: -38.95
Magnetization in μB/f.u.: 0.00

Unit cell a=3.6659 b=6.2770 c=8.0780 alpha=98.47 beta=91.29 gamma=104.39
Atoms (fractional coordinates):
1 Dy 0.2141 0.4532 0.8143
2 Dy 0.7859 0.5468 0.1857
3 Dy 0.0000 0.0000 0.0000
4 C 0.6328 0.2732 0.9447
5 C 0.3672 0.7268 0.0553
6 I 0.1546 0.2355 0.3745
7 I 0.8454 0.7645 0.6255



[2]
# Cs3RbAu

Crystalline Cs3RbAu at its relaxed geometry (PBE-GGA, Alexandria).

Calculated values
Formation energy from the elements in eV per atom: -0.13
SG: P2_1/m, No. 11
Mass density in g/cm³: 2.987
VASP energy in eV for the cell shown: -14.86
Magnetization in μB/f.u.: 0.00

Unit cell a=7.5704 b=9.7114 c=10.4903 alpha=90.00 beta=90.00 gamma=100.86
Atoms (fractional coordinates):
1 Cs 0.0175 0.7566 0.0154
2 Cs 0.0175 0.7566 0.4846
3 Cs 0.4390 0.0590 0.7500
4 Cs 0.9825 0.2434 0.9846
5 Cs 0.9825 0.2434 0.5154
6 Cs 0.5610 0.9410 0.2500
7 Rb 0.5366 0.5993 0.7500
8 Rb 0.4634 0.4007 0.2500
9 Au 0.1004 0.0406 0.2500
10 Au 0.8996 0.9594 0.7500



[3]
# LiCdRh

Crystalline LiCdRh at its relaxed geometry (PBE-GGA, Alexandria).

Calculated values
Formation energy from the elements in eV per atom: 0.14
SG: F-43m, No. 216
Mass density in g/cm³: 7.490
VASP energy in eV for the cell shown: -9.77
Magnetization in μB/f.u.: 0.00

Unit cell a=4.1150 b=4.1150 c=4.1150 alpha=60.00 beta=60.00 gamma=60.00
Atoms (fractional coordinates):
1 Cd 0.5000 0.5000 0.5000
2 Li 0.7500 0.7500 0.7500
3 Rh 0.0000 0.0000 0.0000



[4]
# LiCe4Sm3Se8

Crystalline LiCe4Sm3Se8 at its relaxed geometry (PBE-GGA, Alexandria).

Calculated values
SG: R-3m, No. 166
Mass density in g/cm³: 6.647
VASP energy in eV for the cell shown: -96.11
Magnetization in μB/f.u.: 4.74

Unit cell a=8.3298 b=8.3779 c=8.3299 alpha=119.81 beta=120.00 gamma=90.00
Site moments in Bohr magnetons follow the coordinates.
Atoms (fractional coordinates):
1 Ce 0.5000 0.0000 0.5000  0.90
2 Ce 0.5000 0.0000 0.0000  1.05
3 Ce 0.0000 0.0000 0.5000  0.90
4 Ce 0.0000 0.0000 0.0000  0.90
5 Se 0.7572 0.2595 0.5145  -0.01
6 Se 0.7490 0.7470 0.4980  -0.01
7 Se 0.2428 0.7405 0.4855  -0.01
8 Se 0.2450 0.2596 0.0023  -0.01
9 Se 0.2427 0.7404 0.9977  -0.01
10 Se 0.7573 0.2596 0.0023  -0.01
11 Se 0.2510 0.2530 0.5020  -0.01
12 Se 0.7550 0.7404 0.9977  -0.01
13 Sm 0.5000 0.5000 0.5000  0.02
14 Sm 0.5000 0.5000 0.0000  0.02
15 Sm 0.0000 0.5000 0.5000  0.02
16 Li 0.0000 0.5000 0.0000  0.00



What is the VASP energy in the second record?
-14.86 eV for the cell shown



Which of these has the highest magnetization?
LiCe4Sm3Se8